K2ZrNiO | PBE+U | optimized geometry

The total energy comes out at -3.58 eV/atom. The calculated density is 3.34 g cm⁻³.

Structure (CIF):
```
data_K2ZrNiO
_chemical_formula_sum 'K2 Zr1 Ni1 O1'
_cell_length_a 5.351
_cell_length_b 5.351
_cell_length_c 4.235
_cell_angle_alpha 90.00
_cell_angle_beta 90.00
_cell_angle_gamma 90.00
_space_group_name_H-M_alt 'P 4/m m m'
_space_group_IT_number 123
_space_group_name_Hall '-P 4 2'
loop_
_atom_site_label
_atom_site_fract_x
_atom_site_fract_y
_atom_site_fract_z
_atom_site_occupancy
K1 0.000 0.500 0.000 1
Zr1 0.000 0.000 0.500 1
Ni1 0.500 0.500 0.500 1
O1 0.000 0.000 0.000 1
```